Record 1
This record from Alexandria via LeMat-Bulk describes a geometry-optimized LiNp2InS4 structure. The functional is PBE.

Lattice parameters (Å, degrees): 4.0257 6.9821 14.0827 90.00 90.00 106.76
Closest atoms and distances in Å follow each position.
Fractional coordinates of all 16 atoms:
Li  0.8241  0.6482  0.7500  4 S 2.35-2.40
Li  0.1759  0.3518  0.2500  4 S 2.35-2.40
Np  0.3681  0.7362  0.5588  6 S 2.70-2.80
Np  0.6319  0.2638  0.0588  6 S 2.70-2.80
Np  0.6319  0.2638  0.4412  6 S 2.70-2.80
Np  0.3681  0.7362  0.9412  6 S 2.70-2.80
In  0.0963  0.1927  0.7500  6 S 3.08-3.44
In  0.9037  0.8073  0.2500  6 S 3.08-3.44
S  0.2618  0.5237  0.1045  1 Li 2.35
S  0.7382  0.4763  0.6045  1 Li 2.35
S  0.7382  0.4763  0.8955  1 Li 2.35
S  0.2618  0.5237  0.3955  1 Li 2.35
S  0.0000  0.0000  0.5000  4 Np 2.80
S  0.0000  0.0000  0.0000  4 Np 2.80
S  0.4215  0.8430  0.7500  2 Li 2.40
S  0.5785  0.1570  0.2500  2 Li 2.40

- ΔE_f (raw): -1.143 eV per atom
- Total energy: -7.02 eV/atom

Record 2
This record from Alexandria via LeMat-Bulk describes a geometry-optimized Li3Np3InS8 structure. The functional is PBE.

Lattice parameters (Å, degrees): 7.8427 7.8426 7.6232 120.96 90.00 120.00
Closest atoms and distances in Å follow each position.
Fractional coordinates of all 15 atoms:
Li  0.0000  0.0000  0.0000  6 S 2.73-2.74
Li  0.0000  0.5000  0.0000  6 S 2.73-2.74
Li  0.5000  0.5000  0.0000  6 S 2.73-2.74
Np  0.5000  0.0000  0.5000  6 S 2.73-2.74
Np  0.5000  0.5000  0.5000  6 S 2.73-2.74
Np  0.0000  0.5000  0.5000  6 S 2.73-2.74
In  0.0000  0.0000  0.5000  6 S 2.67
S  0.2503  0.5007  0.2511  3 Np 2.73, 3 Li 2.74
S  0.7497  0.4993  0.7489  3 Np 2.73, 3 Li 2.74
S  0.7556  0.5111  0.2548  1 In 2.67, 2 Li 2.73, 2 Np 2.74
S  0.2444  0.4889  0.7452  1 In 2.67, 2 Li 2.73, 2 Np 2.74
S  0.7556  0.9991  0.2548  1 In 2.67, 2 Li 2.73, 2 Np 2.74
S  0.2444  0.0009  0.7452  1 In 2.67, 2 Li 2.73, 2 Np 2.74
S  0.2435  0.9991  0.2548  1 In 2.67, 2 Li 2.73, 2 Np 2.74
S  0.7565  0.0009  0.7452  1 In 2.67, 2 Li 2.73, 2 Np 2.74

- ΔE_f (raw): -1.195 eV per atom
- Total energy: -6.55 eV/atom

Record 3
This record from Alexandria via LeMat-Bulk describes a geometry-optimized LiNp2InSe4 structure. The functional is PBE.

Lattice parameters (Å, degrees): 4.1950 7.2656 14.6823 90.00 90.00 106.78
Closest atoms and distances in Å follow each position.
Fractional coordinates of all 16 atoms:
Li  0.8312  0.6624  0.7500  4 Se 2.48-2.51
Li  0.1688  0.3376  0.2500  4 Se 2.48-2.51
Np  0.3678  0.7356  0.5602  6 Se 2.85-2.93
Np  0.6322  0.2644  0.0602  6 Se 2.85-2.93
Np  0.6322  0.2644  0.4398  6 Se 2.85-2.93
Np  0.3678  0.7356  0.9398  6 Se 2.85-2.93
In  0.1041  0.2083  0.7500  6 Se 3.20-3.47
In  0.8959  0.7917  0.2500  6 Se 3.20-3.47
Se  0.2656  0.5312  0.1082  1 Li 2.48
Se  0.7344  0.4688  0.6082  1 Li 2.48
Se  0.7344  0.4688  0.8918  1 Li 2.48
Se  0.2656  0.5312  0.3918  1 Li 2.48
Se  0.0000  0.0000  0.5000  4 Np 2.93
Se  0.0000  0.0000  0.0000  4 Np 2.93
Se  0.4300  0.8601  0.7500  2 Li 2.51
Se  0.5700  0.1399  0.2500  2 Li 2.51

- ΔE_f (raw): -0.985 eV per atom
- Total energy: -6.54 eV/atom

Record 4
This record from Alexandria via LeMat-Bulk describes a geometry-optimized Li4Np3InSe8 structure. The functional is PBE.

Lattice parameters (Å, degrees): 8.2456 7.9895 8.2462 121.06 120.00 90.00
Closest atoms and distances in Å follow each position.
Fractional coordinates of all 16 atoms:
Li  0.5000  0.0000  0.0000  6 Se 2.85
Li  0.5000  0.0000  0.5000  6 Se 2.85-2.86
Li  0.0000  0.0000  0.0000  6 Se 2.86
Li  0.0000  0.0000  0.5000  6 Se 2.85-2.86
Np  0.5000  0.5000  0.0000  6 Se 2.88-2.89
Np  0.5000  0.5000  0.5000  6 Se 2.88-2.89
Np  0.0000  0.5000  0.5000  6 Se 2.88-2.89
In  0.0000  0.5000  0.0000  6 Se 2.89
Se  0.2516  0.7534  0.0018  3 Li 2.85-2.86, 2 Np 2.88, 1 In 2.89
Se  0.2515  0.7534  0.5031  3 Li 2.85-2.86, 2 Np 2.88, 1 In 2.89
Se  0.2486  0.2456  0.4972  3 Li 2.85-2.86, 3 Np 2.89
Se  0.7502  0.7534  0.0018  3 Li 2.85-2.86, 2 Np 2.88, 1 In 2.89
Se  0.2498  0.2466  0.9982  3 Li 2.85-2.86, 2 Np 2.88, 1 In 2.89
Se  0.7514  0.7544  0.5028  3 Li 2.85-2.86, 3 Np 2.89
Se  0.7485  0.2466  0.4969  3 Li 2.85-2.86, 2 Np 2.88, 1 In 2.89
Se  0.7484  0.2466  0.9982  3 Li 2.85-2.86, 2 Np 2.88, 1 In 2.89

- ΔE_f (raw): -1.080 eV per atom
- Total energy: -5.90 eV/atom

Record 5
This record from Alexandria via LeMat-Bulk describes a geometry-optimized Li3Np3InSe8 structure. The functional is PBE.

Lattice parameters (Å, degrees): 8.1743 8.2149 8.0098 120.81 90.00 119.84
Closest atoms and distances in Å follow each position.
Fractional coordinates of all 15 atoms:
Li  0.0000  0.0000  0.0000  6 Se 2.84-2.86
Li  0.0000  0.5000  0.0000  6 Se 2.83-2.86
Li  0.5000  0.5000  0.0000  6 Se 2.83-2.86
Np  0.5000  0.0000  0.5000  6 Se 2.89-2.90
Np  0.5000  0.5000  0.5000  6 Se 2.87-2.90
Np  0.0000  0.5000  0.5000  6 Se 2.87-2.90
In  0.0000  0.0000  0.5000  6 Se 2.82-2.84
Se  0.2481  0.4961  0.2432  3 Li 2.83-2.86, 3 Np 2.89-2.90
Se  0.7519  0.5039  0.7568  3 Li 2.83-2.86, 3 Np 2.89-2.90
Se  0.7529  0.5058  0.2516  1 In 2.84, 2 Li 2.85, 2 Np 2.87
Se  0.2471  0.4942  0.7484  1 In 2.84, 2 Li 2.85, 2 Np 2.87
Se  0.7543  0.9969  0.2502  1 In 2.82, 2 Li 2.84-2.86, 2 Np 2.89-2.90
Se  0.2457  0.0031  0.7498  1 In 2.82, 2 Li 2.84-2.86, 2 Np 2.89-2.90
Se  0.2427  0.9969  0.2502  1 In 2.82, 2 Li 2.84-2.86, 2 Np 2.89-2.90
Se  0.7573  0.0031  0.7498  1 In 2.82, 2 Li 2.84-2.86, 2 Np 2.89-2.90

- ΔE_f (raw): -1.032 eV per atom
- Total energy: -6.04 eV/atom

Record 6
This record from Alexandria via LeMat-Bulk describes a geometry-optimized LiNp2In3Te6 structure. The functional is PBE.

Lattice parameters (Å, degrees): 7.5780 7.5780 8.3895 98.56 98.56 120.02
Closest atoms and distances in Å follow each position.
Fractional coordinates of all 12 atoms:
Li  0.0000  0.0000  0.0000  6 Te 3.10-3.16
Np  0.3326  0.6674  0.0000  6 Te 3.05-3.06
Np  0.6674  0.3326  0.0000  6 Te 3.05-3.06
In  0.1642  0.8358  0.5000  6 Te 3.33-3.40
In  0.8358  0.1642  0.5000  6 Te 3.33-3.40
In  0.5000  0.5000  0.5000  6 Te 3.36-3.39
Te  0.9257  0.5826  0.7769  2 Np 3.06, 1 Li 3.16, 3 In 3.33-3.39
Te  0.7316  0.7316  0.2155  2 Np 3.05, 1 Li 3.10, 3 In 3.36-3.40
Te  0.0743  0.4174  0.2231  2 Np 3.06, 1 Li 3.16, 3 In 3.33-3.39
Te  0.5826  0.9257  0.7769  2 Np 3.06, 1 Li 3.16, 3 In 3.33-3.39
Te  0.2684  0.2684  0.7845  2 Np 3.05, 1 Li 3.10, 3 In 3.36-3.40
Te  0.4174  0.0743  0.2231  2 Np 3.06, 1 Li 3.16, 3 In 3.33-3.39

- ΔE_f (raw): -0.491 eV per atom
- Total energy: -5.06 eV/atom

For each record above, in turn, the calculated total magnetic moment values are 8.00; 11.00; 8.00; 11.48; 3.75; 6.32 μB/f.u..